Record 1
Below is NaCd2Pb after structural relaxation, with properties calculated at the PBE level.

```
NaCd2Pb
1.0
4.615 0.000 0.000
0.000 4.701 0.000
0.000 0.000 4.701
Pb Na Cd
1 1 2
Cartesian
2.307 2.350 2.350
2.307 0.000 0.000
0.000 0.000 2.350
0.000 2.350 0.000
```

* DFT formation energy: -0.0631 eV/atom
* symmetry: No. 123

---

Record 2
Below is RbLaMg6 after structural relaxation, with properties calculated at the PBE level.

```
RbLaMg6
1.0
-4.409 -5.899 -0.939
4.185 0.042 6.132
-3.711 2.373 2.517
Rb La Mg
1 1 6
Cartesian
-3.784 -2.998 2.360
1.320 0.530 6.559
-1.200 -0.110 3.446
-1.287 -2.374 5.454
-0.544 -2.072 1.151
-0.635 -4.446 3.256
1.527 -1.796 3.945
-3.713 -5.417 -0.366
```

* DFT formation energy: 0.1756 eV/atom
* symmetry: No. 38

---

Record 3
Below is LiLaTb2Tl4 after structural relaxation, with properties calculated at the PBE level.

```
LiLaTb2Tl4
1.0
5.304 0.000 0.000
2.652 4.593 0.000
2.652 1.531 9.095
Li La Tb Tl
1 1 2 4
Cartesian
5.304 3.062 4.547
0.000 0.000 0.000
7.956 4.593 6.657
2.652 1.531 2.437
5.304 3.062 7.814
7.956 4.593 3.502
2.652 1.531 5.593
5.304 3.062 1.280
```

* DFT formation energy: -0.3385 eV/atom
* symmetry: No. 166

---

Record 4
Below is CaGa2NiRu after structural relaxation, with properties calculated at the PBE level.

```
CaGa2NiRu
1.0
4.203 0.000 0.000
0.000 4.203 0.000
-2.101 -2.101 5.084
Ca Ga Ni Ru
1 2 1 1
Cartesian
0.000 0.000 0.000
2.101 2.101 1.326
0.000 0.000 3.759
0.000 2.101 2.542
2.101 0.000 2.542
```

* DFT formation energy: -0.3954 eV/atom
* symmetry: No. 119

---

Record 5
Below is LaGa3Ir after structural relaxation, with properties calculated at the PBE level.

```
LaGa3Ir
1.0
5.513 0.000 0.000
0.000 5.513 0.000
0.000 0.000 5.513
Ir Ga La
1 3 1
Cartesian
2.756 2.756 2.756
0.000 2.756 0.000
0.000 0.000 2.756
2.756 0.000 0.000
0.000 0.000 0.000
```

* DFT formation energy: 1.6845 eV/atom
* symmetry: No. 221

---

Record 6
Below is AlAg7Se6 after structural relaxation, with properties calculated at the PBE level.

```
AlAg7Se6
1.0
6.855 0.000 2.572
3.475 9.422 1.159
0.121 -0.497 10.097
Al Ag Se
2 14 12
Cartesian
6.040 2.231 4.743
4.411 6.694 9.085
4.956 -0.318 11.727
5.495 9.243 2.101
7.367 4.642 7.533
3.085 4.284 6.295
5.506 5.276 4.003
5.691 1.610 7.840
7.936 2.356 12.277
8.626 8.609 6.108
4.946 3.650 9.825
4.761 7.315 5.987
2.516 6.570 1.551
1.826 0.316 7.720
2.613 2.231 3.457
7.839 6.694 10.371
5.169 2.710 2.528
0.534 0.447 3.115
7.677 4.016 4.919
3.927 1.753 5.838
5.283 6.215 11.300
9.918 8.479 10.712
2.774 4.909 8.909
6.525 7.173 7.990
3.058 6.119 4.397
7.394 2.806 9.430
3.410 1.160 9.628
7.042 7.766 4.200
```

* formation energy from raw total energies: -0.108 eV/atom
* symmetry: No. 72

---

Record 7
Below is TaAl2Tc after structural relaxation, with properties calculated at the PBE level.

```
TaAl2Tc
1.0
-3.220 -0.039 -0.314
0.418 -1.679 -4.084
-0.111 -4.022 1.642
Al Tc Ta
2 1 1
Cartesian
0.000 0.000 0.000
-1.401 -0.859 -2.199
0.154 -2.850 -1.221
-1.665 -2.030 0.664
```

* DFT formation energy: -0.2829 eV/atom
* symmetry: No. 47

---

Record 8
Below is BaZn2Ni after structural relaxation, with properties calculated at the PBE level.

```
BaZn2Ni
1.0
-1.160 -2.628 4.122
-2.393 -3.379 -2.845
4.794 1.148 -0.972
Ba Ni Zn
1 1 2
Cartesian
-1.777 -3.004 0.638
0.928 -2.242 1.894
0.000 0.000 0.000
0.312 -2.617 -1.589
```

* DFT formation energy: 0.2293 eV/atom
* symmetry: No. 119

---

Record 9
Below is Ca2AlZn2 after structural relaxation, with properties calculated at the PBE level.

```
Ca2AlZn2
1.0
5.888 0.000 0.000
0.000 5.888 0.000
2.944 2.944 3.712
Zn Ca Al
2 2 1
Cartesian
2.944 2.944 1.176
5.888 5.888 2.536
5.888 2.944 1.856
2.944 5.888 1.856
0.000 0.000 0.000
```

* DFT formation energy: -0.0385 eV/atom
* symmetry: No. 139

---

Record 10
Below is AcTbYCd after structural relaxation, with properties calculated at the PBE level.

```
AcTbYCd
1.0
-1.875 2.093 4.884
-1.615 -3.483 4.123
3.128 -0.490 4.661
Y Ac Tb Cd
1 1 1 1
Cartesian
-0.091 -0.470 3.417
-0.181 -0.940 6.834
-0.272 -1.410 10.251
0.000 0.000 0.000
```

* DFT formation energy: 0.0741 eV/atom
* symmetry: No. 216

---

Record 11
Below is Cs2GaBr6Cl after structural relaxation, with properties calculated at the PBE level.

```
Cs2GaBr6Cl
1.0
-7.093 2.485 1.691
-2.734 -7.134 -0.985
-3.935 -3.506 6.193
Cs Ga Br Cl
2 1 6 1
Cartesian
-7.971 -1.673 4.119
-5.792 -6.482 2.781
0.000 0.000 0.000
-4.347 -3.009 3.738
-9.416 -5.146 3.162
-2.350 -1.112 0.169
-7.477 -3.538 0.537
-6.051 0.185 1.051
-3.776 -4.834 -0.345
-4.914 -2.325 0.353
```

* formation energy from raw total energies: -0.917 eV/atom
* symmetry: No. 139

---

Record 12
Below is NbCoOs after structural relaxation, with properties calculated at the PBE level.

```
NbCoOs
1.0
-4.759 -3.254 1.789
1.550 -6.950 1.665
-0.606 -0.727 7.252
Os Co Nb
6 6 6
Cartesian
0.062 -7.804 5.379
-3.429 -2.821 5.157
-3.545 -6.709 9.443
-0.515 -4.390 1.354
-3.902 -4.812 7.192
-2.696 -8.023 4.559
-1.835 -5.416 5.325
-2.307 -1.577 0.867
-0.126 -7.989 8.066
-0.128 -0.507 1.300
0.598 -5.078 5.102
-0.851 -3.419 4.264
-0.576 -6.123 3.260
-1.165 -3.390 6.665
-2.176 -7.051 7.074
-4.124 -5.580 4.565
-3.671 -9.364 9.073
-2.629 -3.267 2.566
```

* DFT formation energy: 0.1483 eV/atom
* symmetry: No. 46

---

Record 13
Below is Zr2MnTc2 after structural relaxation, with properties calculated at the PBE level.

```
Zr2MnTc2
1.0
6.276 0.000 0.000
0.000 6.276 0.000
0.000 0.000 4.469
Mn Tc Zr
2 4 4
Cartesian
0.000 0.000 0.000
3.138 3.138 0.000
2.213 5.351 0.000
5.351 4.062 0.000
4.062 0.925 0.000
0.925 2.213 0.000
1.127 4.265 2.234
4.265 5.148 2.234
5.148 2.010 2.234
2.010 1.127 2.234
```

* DFT formation energy: -0.0035 eV/atom
* symmetry: No. 127

---

Record 14
Below is PuInGaHg after structural relaxation, with properties calculated at the PBE level.

```
PuInGaHg
1.0
-1.430 4.885 0.374
-3.572 1.361 3.381
1.289 2.729 4.116
In Hg Ga Pu
1 1 1 1
Cartesian
-1.857 4.488 3.935
-2.785 6.731 5.903
-0.928 2.244 1.968
0.000 0.000 0.000
```

* DFT formation energy: -0.1652 eV/atom
* symmetry: No. 216

---

Record 15
Below is MnCdGa4Se8 after structural relaxation, with properties calculated at the PBE level.

```
MnCdGa4Se8
1.0
5.792 0.000 0.000
0.000 5.792 0.000
0.000 0.000 10.981
Mn Cd Ga Se
1 1 4 8
Cartesian
2.896 2.896 5.491
0.000 0.000 0.000
2.896 2.896 0.000
0.000 0.000 5.491
0.000 2.896 2.768
2.896 0.000 8.213
1.436 4.422 4.047
4.300 1.594 9.444
4.356 1.371 4.047
1.492 4.198 9.444
4.198 4.300 1.537
1.371 1.436 6.934
1.594 1.492 1.537
4.422 4.356 6.934
```

* formation energy from raw total energies: -0.594 eV/atom
* symmetry: No. 81

---

Record 16
Below is TlAu3O after structural relaxation, with properties calculated at the PBE level.

```
TlAu3O
1.0
5.295 0.000 0.000
0.000 5.295 0.000
0.000 0.000 5.295
Tl Au O
1 3 1
Cartesian
0.000 0.000 0.000
0.000 2.648 0.000
0.000 0.000 2.648
2.648 0.000 0.000
2.648 2.648 2.648
```

* formation energy from raw total energies: 1.358 eV/atom
* symmetry: No. 221

---

Record 17
Below is K5HgAu2 after structural relaxation, with properties calculated at the PBE level.

```
K5HgAu2
1.0
8.801 0.000 0.000
0.000 8.801 0.000
-4.401 -4.401 8.251
K Hg Au
10 2 4
Cartesian
1.487 2.914 5.979
5.887 7.314 2.272
0.000 0.000 0.000
4.401 4.401 0.000
-1.487 -2.914 5.979
2.914 -1.487 5.979
-2.914 1.487 5.979
1.487 5.887 2.272
7.314 2.914 2.272
2.914 1.487 2.272
4.401 4.401 4.125
0.000 0.000 4.125
1.036 3.365 0.000
5.436 1.036 0.000
3.365 7.765 0.000
7.765 5.436 0.000
```

* DFT formation energy: -0.2416 eV/atom
* symmetry: No. 140

---

Record 18
Below is PaCu2H2O7 after structural relaxation, with properties calculated at the PBE level.

```
PaCu2H2O7
1.0
6.101 0.000 0.000
3.051 5.284 0.000
3.051 1.761 6.081
Pa Cu H O
1 2 2 7
Cartesian
0.000 0.000 0.000
9.152 5.284 4.786
3.051 1.761 1.295
6.101 3.523 2.098
6.101 3.523 3.983
1.520 0.877 1.188
3.051 3.529 1.188
4.582 0.877 1.188
6.101 3.523 3.041
9.152 3.516 4.893
7.621 6.168 4.893
10.683 6.168 4.893
```

* uncorrected energy: -5.97 eV/atom
* symmetry: No. 166

---

Record 19
Below is Dy2GaBr after structural relaxation, with properties calculated at the PBE level.

```
Dy2GaBr
1.0
3.751 0.000 0.000
1.875 3.248 0.000
1.875 1.083 8.425
Ga Br Dy
1 1 2
Cartesian
0.000 0.000 0.000
3.751 2.165 4.213
5.626 3.248 6.477
1.875 1.083 1.948
```

* formation energy from raw total energies: -0.769 eV/atom
* symmetry: No. 166

---

Record 20
Below is Ba2TlIn6Sn after structural relaxation, with properties calculated at the PBE level.

```
Ba2TlIn6Sn
1.0
-7.410 -0.344 1.197
-2.761 -4.747 5.129
-2.233 8.565 12.229
Ba Tl In Sn
4 2 12 2
Cartesian
-9.790 -1.705 9.665
-2.615 5.179 8.890
-9.180 3.694 14.990
-3.224 -0.220 3.565
0.000 0.000 0.000
-6.202 1.737 9.277
-8.744 1.441 7.636
-5.949 -1.205 9.999
-4.289 1.648 6.916
-3.661 2.033 10.919
-6.455 4.679 8.556
-8.115 1.826 11.639
-7.390 6.380 12.936
-5.483 4.574 14.549
-4.350 6.522 12.445
-5.015 -2.907 5.619
-6.922 -1.101 4.006
-8.054 -3.048 6.110
-6.459 -0.541 7.031
-5.945 4.014 11.524
```

* DFT formation energy: -0.1105 eV/atom
* symmetry: No. 166

---

Record 21
Below is NaDy2C2N6 after structural relaxation, with properties calculated at the PBE level.

```
NaDy2C2N6
1.0
6.304 0.008 0.001
3.153 4.929 -0.085
-0.004 -2.823 5.510
Na Dy C N
1 2 2 6
Cartesian
3.150 -1.407 2.755
6.302 -0.571 4.407
3.152 2.685 1.019
3.148 1.089 3.998
6.306 1.025 1.428
4.266 0.432 4.343
7.423 1.683 1.082
3.148 2.289 3.406
2.031 0.432 4.344
6.306 -0.174 2.019
5.188 1.682 1.083
```

* formation energy from raw total energies: -0.373 eV/atom
* symmetry: No. 12

---

Record 22
Below is NdAsPt3 after structural relaxation, with properties calculated at the PBE level.

```
NdAsPt3
1.0
-1.744 -3.730 0.263
2.617 -1.425 -2.853
3.226 1.152 5.367
Nd As Pt
1 1 3
Cartesian
0.065 -0.025 0.072
1.436 -2.966 -0.185
3.212 -1.453 0.689
1.032 -2.606 2.248
3.116 -1.212 3.464
```

* DFT formation energy: -0.8484 eV/atom
* symmetry: No. 107

---

Record 23
Below is Ba2Ag3SnBi4 after structural relaxation, with properties calculated at the PBE level.

```
Ba2Ag3SnBi4
1.0
5.254 0.000 0.000
0.000 5.254 0.000
0.000 0.000 11.564
Ba Ag Sn Bi
2 3 1 4
Cartesian
2.627 0.000 2.876
0.000 2.627 8.688
0.000 0.000 5.782
2.627 0.000 10.163
0.000 2.627 1.401
2.627 2.627 5.782
2.627 2.627 0.000
0.000 0.000 0.000
2.627 0.000 7.306
0.000 2.627 4.258
```

* DFT formation energy: -0.3646 eV/atom
* symmetry: No. 115

---

no.,magnetic moment (μB/f.u.)
1,0.00
2,0.00
3,0.00
4,0.00
5,0.92
6,0.00
7,0.00
8,0.00
9,0.00
10,0.00
11,0.03
12,0.01
13,0.00
14,5.78
15,5.00
16,0.00
17,0.00
18,0.06
19,0.00
20,0.00
21,0.98
22,0.00
23,0.00